18
Lattice="-3.033 0.329 5.089 -1.905 -3.538 -4.366 5.335 -7.386 3.658" Properties=species:S:1:pos:R:3 comment="NaCaNpF6, relaxed, DFT PBE-GGA" sg="P-31c (163)" raw_formation_energy_mev_per_atom=-3402 pbc="T T T"
F -2.651 -3.100 0.990
F 0.722 -9.730 2.269
F -2.940 -1.759 4.119
F 0.373 -3.775 1.628
F 0.484 -8.049 -0.399
F 0.024 -6.819 2.754
F -2.308 -4.793 3.483
F -0.325 -0.864 2.112
F 3.337 -8.835 0.263
F 3.048 -7.495 3.391
F -0.088 -2.546 4.781
F 2.705 -5.801 0.899
Ca 2.668 -3.693 1.829
Ca 0.000 0.000 0.000
Na -0.947 -4.095 -0.300
Na 1.344 -6.499 4.681
Np 1.720 -7.788 1.529
Np -1.323 -2.806 2.852